Ca3Cr5S12 (PBE-GGA, relaxed); final energy = -489.75 eV for the cell shown; spin magnetization = 0.6000 μB per atom; ΔE_f (raw) = -18.8 eV/f.u.
1.0
-7.459 7.459 7.459
7.459 -7.459 7.459
7.459 7.459 -7.459
Ca Cr S
12 20 48
direct
0.125 0.250 0.375
0.125 0.375 0.750
0.250 0.375 0.125
0.250 0.875 0.625
0.375 0.125 0.250
0.375 0.750 0.125
0.625 0.250 0.875
0.625 0.875 0.750
0.750 0.125 0.375
0.750 0.625 0.875
0.875 0.625 0.250
0.875 0.750 0.625
0.000 0.000 0.000
0.000 0.000 0.500
0.000 0.500 0.000
0.000 0.500 0.500
0.125 0.750 0.875
0.125 0.875 0.250
0.250 0.125 0.875
0.250 0.625 0.375
0.375 0.250 0.625
0.375 0.625 0.750
0.500 0.000 0.000
0.500 0.000 0.500
0.500 0.500 0.000
0.500 0.500 0.500
0.625 0.375 0.250
0.625 0.750 0.375
0.750 0.375 0.625
0.750 0.875 0.125
0.875 0.125 0.750
0.875 0.250 0.125
0.021 0.203 0.115
0.021 0.318 0.906
0.088 0.703 0.682
0.088 0.885 0.406
0.094 0.615 0.412
0.094 0.979 0.682
0.115 0.021 0.203
0.115 0.594 0.912
0.182 0.203 0.588
0.182 0.479 0.594
0.203 0.115 0.021
0.203 0.588 0.182
0.297 0.318 0.912
0.297 0.479 0.385
0.318 0.906 0.021
0.318 0.912 0.297
0.385 0.297 0.479
0.385 0.588 0.906
0.406 0.088 0.885
0.406 0.818 0.521
0.412 0.094 0.615
0.412 0.818 0.797
0.479 0.385 0.297
0.479 0.594 0.182
0.521 0.406 0.818
0.521 0.615 0.703
0.588 0.182 0.203
0.588 0.906 0.385
0.594 0.182 0.479
0.594 0.912 0.115
0.615 0.412 0.094
0.615 0.703 0.521
0.682 0.088 0.703
0.682 0.094 0.979
0.703 0.521 0.615
0.703 0.682 0.088
0.797 0.412 0.818
0.797 0.885 0.979
0.818 0.521 0.406
0.818 0.797 0.412
0.885 0.406 0.088
0.885 0.979 0.797
0.906 0.021 0.318
0.906 0.385 0.588
0.912 0.115 0.594
0.912 0.297 0.318
0.979 0.682 0.094
0.979 0.797 0.885



CaCr3S (PBE-GGA, relaxed); E above lowest polymorph = 0.00 eV per formula unit; final energy = -32.74 eV for the cell shown; spin magnetization = 0.0000 μB per atom; ΔE_f (raw) = 2.3 eV/f.u.
1.0
4.305 0.000 0.000
0.000 4.305 0.000
0.000 0.000 4.305
Ca Cr S
1 3 1
direct
0.000 0.000 0.000
0.000 0.500 0.500
0.500 0.000 0.500
0.500 0.500 0.000
0.500 0.500 0.500



CaCr3S (PBE-GGA, relaxed); E above lowest polymorph = 11.67 eV per formula unit; final energy = -21.07 eV for the cell shown; spin magnetization = 0.0000 μB per atom; ΔE_f (raw) = 13.9 eV/f.u.
1.0
4.398 0.000 0.000
0.000 4.398 0.000
0.000 0.000 4.398
Ca Cr S
1 3 1
direct
0.000 0.000 0.000
0.000 0.000 0.500
0.000 0.500 0.000
0.500 0.000 0.000
0.500 0.500 0.500



SrCaCrS2 (PBE-GGA, relaxed); final energy = -22.39 eV for the cell shown; spin magnetization = 0.6188 μB per atom; ΔE_f (raw) = -0.8 eV/f.u.
1.0
4.930 0.000 0.000
0.000 4.930 0.000
0.000 0.000 5.009
Sr Ca Cr S
1 1 1 2
direct
0.000 0.000 0.000
0.500 0.500 0.000
0.000 0.000 0.500
0.000 0.500 0.500
0.500 0.000 0.500



Ca2UCrS6 (PBE-GGA, relaxed); final energy = -62.03 eV for the cell shown; spin magnetization = 0.4001 μB per atom; ΔE_f (raw) = -12.3 eV/f.u.
1.0
6.844 0.000 0.000
0.000 6.844 0.000
0.000 0.000 5.204
Ca U Cr S
2 1 1 6
direct
0.000 0.500 0.000
0.500 0.000 0.000
0.000 0.000 0.651
0.500 0.500 0.633
0.000 0.000 0.162
0.261 0.261 0.686
0.261 0.739 0.686
0.500 0.500 0.178
0.739 0.261 0.686
0.739 0.739 0.686



Ca2CrSb (PBE-GGA, relaxed); final energy = -34.12 eV for the cell shown; spin magnetization = 1.2153 μB per atom; ΔE_f (raw) = 0.7 eV/f.u.
1.0
-4.231 4.231 3.378
4.231 -4.231 3.378
4.231 4.231 -3.378
Ca Cr Sb
4 2 2
direct
0.120 0.625 0.995
0.375 0.370 0.495
0.630 0.125 0.005
0.875 0.880 0.505
0.250 0.750 0.500
0.500 0.500 0.000
0.000 0.000 0.000
0.750 0.250 0.500



Ca2CrSb (PBE-GGA, relaxed); final energy = -17.51 eV for the cell shown; spin magnetization = 0.8752 μB per atom; ΔE_f (raw) = 0.2 eV/f.u.
1.0
0.000 3.679 3.679
3.679 0.000 3.679
3.679 3.679 0.000
Ca Cr Sb
2 1 1
direct
0.000 0.000 0.000
0.250 0.250 0.250
0.500 0.500 0.500
0.750 0.750 0.750



CaCr2Sb (PBE-GGA, relaxed); final energy = -46.31 eV for the cell shown; spin magnetization = 0.8610 μB per atom; ΔE_f (raw) = 2.2 eV/f.u.
1.0
-2.259 2.259 9.513
2.259 -2.259 9.513
2.259 2.259 -9.513
Ca Cr Sb
2 4 2
direct
0.000 0.000 0.000
0.750 0.250 0.500
0.367 0.625 0.242
0.375 0.617 0.742
0.383 0.125 0.758
0.875 0.633 0.258
0.250 0.750 0.500
0.500 0.500 0.000



Ca2CrSb (PBE-GGA, relaxed); final energy = -18.57 eV for the cell shown; spin magnetization = 1.1998 μB per atom; ΔE_f (raw) = -0.8 eV/f.u.
1.0
4.948 0.000 0.000
0.000 4.948 0.000
0.000 0.000 4.381
Ca Cr Sb
2 1 1
direct
0.000 0.500 0.000
0.500 0.000 0.000
0.000 0.000 0.500
0.500 0.500 0.500



CaCr2Sb (PBE-GGA, relaxed); final energy = -23.68 eV for the cell shown; spin magnetization = 2.1053 μB per atom; ΔE_f (raw) = 1.7 eV/f.u.
1.0
2.675 -2.678 0.000
2.675 2.678 0.000
0.000 0.000 6.475
Ca Cr Sb
1 2 1
direct
0.000 0.000 0.000
0.500 0.500 0.283
0.500 0.500 0.717
0.000 0.000 0.500



CaCr2Sb (PBE-GGA, relaxed); final energy = -24.63 eV for the cell shown; spin magnetization = 0.2288 μB per atom; ΔE_f (raw) = 0.7 eV/f.u.
1.0
-2.447 2.447 3.477
2.447 -2.447 3.477
2.447 2.447 -3.477
Ca Cr Sb
1 2 1
direct
0.000 0.000 0.000
0.250 0.750 0.500
0.500 0.500 0.000
0.750 0.250 0.500



Ca2CrSb (PBE-GGA, relaxed); final energy = -18.19 eV for the cell shown; spin magnetization = 0.9788 μB per atom; ΔE_f (raw) = -0.4 eV/f.u.
1.0
-2.034 2.496 5.486
2.034 -2.496 5.486
2.034 2.496 -5.486
Ca Cr Sb
2 1 1
direct
0.000 0.000 0.000
0.720 0.220 0.500
0.283 0.783 0.500
0.457 0.457 0.000